FeTeBr2: optimized geometry, PBE.

```
FeTeBr2
1.0
3.320 0.000 0.000
0.000 3.320 0.000
0.000 0.000 9.127
Fe Te Br
1 1 2
Cartesian
0.000 0.000 0.000
1.660 1.660 1.645
0.000 0.000 3.984
1.660 1.660 7.543
```

## Properties
DOS(E_F)   4.1 states/eV/f.u.
Volume   100.6 Å³ per cell
ΔE_f (raw)   0.19 eV/atom
Crystal system   tetragonal



Hf2ScC: optimized geometry, PBE.

```
Hf2ScC
1.0
1.625 0.938 8.485
-1.625 0.938 8.485
0.000 -1.877 8.485
Hf Sc C
2 1 1
Cartesian
0.000 0.000 3.013
0.000 0.000 22.443
0.000 0.000 0.000
0.000 0.000 12.728
```

## Properties
Formation enthalpy at 0 K   -116 kJ/mol of formula units
DOS(E_F)   3.3 states/eV/f.u.
Volume   77.7 Å³ per cell
Crystal system   trigonal



Ba2PaCuSe6: optimized geometry, PBE.

```
Ba2PaCuSe6
1.0
5.405 0.000 0.000
0.000 5.405 0.000
0.000 0.000 10.107
Ba Pa Cu Se
2 1 1 6
Cartesian
0.000 0.000 2.154
0.000 0.000 7.953
2.702 2.702 5.054
2.702 2.702 0.000
0.000 2.702 0.000
0.000 2.702 5.054
2.702 0.000 0.000
2.702 0.000 5.054
2.702 2.702 2.374
2.702 2.702 7.733
```

## Properties
DOS(E_F)   4.6 states/eV/f.u.
Volume   295.3 Å³ per cell
ΔE_f (raw)   -1.22 eV/atom
Crystal system   tetragonal



CaCdSO4: optimized geometry, PBE.

```
CaCdSO4
1.0
-2.688 3.751 6.056
2.688 -3.751 6.056
2.688 3.751 -6.056
Ca Cd S O
2 2 2 8
Cartesian
0.000 0.000 0.000
0.000 3.751 0.000
-1.344 1.875 3.028
1.344 1.875 3.028
2.688 1.875 -1.071
0.000 1.875 7.126
2.688 -0.627 1.837
1.449 1.875 -0.165
3.928 1.875 -0.165
2.688 3.123 -1.837
0.000 0.627 7.893
-1.239 1.875 6.221
1.239 1.875 6.221
0.000 4.378 4.218
```

## Properties
Volume   244.2 Å³ per cell
ΔE_f (raw)   -1.63 eV/atom
Crystal system   orthorhombic



So what do the calculations give for total moment? Going down the list: 2.53 0.00 0.00 0.00 Bohr magnetons per cell.